# 1
Computed, not measured: a geometry-optimized ThNbCo2Si2 structure at the PBE level of DFT.

Computed properties:
ΔE_f (raw) in eV per atom: -0.661
Size of the total moment in μB/atom: 0.000
E_tot in eV/atom: -7.752
Density of states at the Fermi level in states/eV/f.u.: 4.37
Crystal system: trigonal

Cell lengths 4.0749, 4.0749, 6.8958 Å; angles 90.00, 90.00, 120.00 degrees
Last column: nearest neighbours and their distance in Å.
Positions (direct):
Th (0.0000, 0.0000, 0.0000)  6 Si 3.09, 6 Co 3.28, 2 Nb 3.45
Nb (0.0000, 0.0000, 0.5000)  6 Co 2.63, 6 Si 2.76
Co (0.6667, 0.3333, 0.3311)  4 Si 2.37-2.60, 3 Nb 2.63
Co (0.3333, 0.6667, 0.6689)  4 Si 2.37-2.60, 3 Nb 2.63
Si (0.6667, 0.3333, 0.7088)  4 Co 2.37-2.60
Si (0.3333, 0.6667, 0.2912)  4 Co 2.37-2.60

***

# 2
Computed, not measured: a geometry-optimized PrMgZnAg structure at the PBE level of DFT.

Computed properties:
Size of the total moment in μB/atom: 0.000
E_tot in eV/atom: -2.930
Density of states at the Fermi level in states/eV/f.u.: 3.06
E_form in eV per atom: -0.306
Crystal system: cubic

Cell lengths 5.0248, 5.0248, 5.0248 Å; angles 60.00, 60.00, 60.00 degrees
Last column: nearest neighbours and their distance in Å.
Positions (direct):
Pr (0.0000, 0.0000, 0.0000)  4 Zn 3.08, 4 Ag 3.08
Zn (0.7500, 0.7500, 0.7500)  4 Pr 3.08, 4 Mg 3.08
Mg (0.5000, 0.5000, 0.5000)  4 Ag 3.08, 4 Zn 3.08
Ag (0.2500, 0.2500, 0.2500)  4 Pr 3.08, 4 Mg 3.08

***

# 3
Computed, not measured: a geometry-optimized SmYMnTl structure at the PBE level of DFT.

Computed properties:
Size of the total moment in μB/atom: 0.842
E_tot in eV/atom: -5.702
Density of states at the Fermi level in states/eV/f.u.: 4.81
E_form in eV per atom: -0.023
Crystal system: cubic

Cell lengths 5.2797, 5.2797, 5.2797 Å; angles 60.00, 60.00, 60.00 degrees
Last column: nearest neighbours and their distance in Å.
Positions (direct):
Y (0.2500, 0.2500, 0.2500)  4 Mn 3.23, 4 Tl 3.23
Tl (0.0000, 0.0000, 0.0000)  4 Sm 3.23, 4 Y 3.23
Mn (0.5000, 0.5000, 0.5000)  4 Sm 3.23, 4 Y 3.23
Sm (0.7500, 0.7500, 0.7500)  4 Tl 3.23, 4 Mn 3.23

***

# 4
Computed, not measured: a geometry-optimized BaTc2Rh structure at the PBE level of DFT.

Computed properties:
Size of the total moment in μB/atom: 0.763
E_tot in eV/atom: -6.208
Density of states at the Fermi level in states/eV/f.u.: 6.11
E_form in eV per atom: 1.293
Crystal system: tetragonal

Cell lengths 4.9652, 4.9652, 3.0707 Å; angles 90.00, 90.00, 90.00 degrees
Last column: nearest neighbours and their distance in Å.
Positions (direct):
Ba (0.5000, 0.0000, 0.5000)  8 Tc 2.92, 2 Ba 3.07
Rh (0.0000, 0.5000, 0.5000)  8 Tc 2.92, 2 Rh 3.07
Tc (0.0000, 0.0000, 0.0000)  4 Ba 2.92, 4 Rh 2.92, 2 Tc 3.07
Tc (0.5000, 0.5000, 0.0000)  4 Ba 2.92, 4 Rh 2.92, 2 Tc 3.07